The following is a GGA-PBE calculation of a relaxed structure of AlP2Rh, from the Alexandria database.

**DOS(E_F)**: 4.31 states/eV/cell
**Formation enthalpy at 0 K**: 0.006 eV/atom
**DFT total energy**: -5.472 eV/atom

Cell lengths 3.891, 3.891, 7.475 Å; angles 90.00, 90.00, 90.00 degrees
Space group I-4m2 (No. 119)
Asymmetric unit:
1 Al 0.000 0.000 0.000 x2
2 P 0.000 0.000 0.500 x2
3 P 0.000 0.500 0.750 x2
4 Rh 0.000 0.500 0.250 x2

***

The following is a GGA-PBE calculation of a relaxed structure of LaTiSeN2, from the Alexandria database.

**DOS(E_F)**: 6.65 states/eV/cell
**Uncorrected formation energy**: 0.5978 eV/atom
**DFT total energy**: -5.994 eV/atom

Cell lengths 4.200, 4.200, 6.141 Å; angles 90.00, 90.00, 90.00 degrees
Space group P4/mmm (No. 123)
Asymmetric unit:
1 La 0.000 0.000 0.000 x1
2 Ti 0.500 0.500 0.500 x1
3 Se 0.000 0.000 0.500 x1
4 N 0.000 0.500 0.000 x2

***

The following is a GGA-PBE calculation of a relaxed structure of LiAcLuAu, from the Alexandria database.

**DOS(E_F)**: 12.85 states/eV/cell
**Formation enthalpy at 0 K**: -0.310 eV/atom
**DFT total energy**: -3.765 eV/atom

Cell lengths 7.527, 7.527, 7.527 Å; angles 90.00, 90.00, 90.00 degrees
Space group F-43m (No. 216)
Asymmetric unit:
1 Li 0.000 0.000 0.000 x4
2 Ac 0.250 0.250 0.250 x4
3 Lu 0.250 0.250 0.750 x4
4 Au 0.000 0.000 0.500 x4

***

The following is a GGA-PBE calculation of a relaxed structure of Y2AlGe3Rh4, from the Alexandria database.

**DOS(E_F)**: 7.34 states/eV/cell
**Formation enthalpy at 0 K**: -0.899 eV/atom
**DFT total energy**: -6.892 eV/atom

Cell lengths 4.163, 4.163, 10.305 Å; angles 90.00, 90.00, 90.00 degrees
Space group P-4m2 (No. 115)
Asymmetric unit:
1 Y 0.000 0.500 0.249 x2
2 Al 0.000 0.000 0.500 x1
3 Ge 0.000 0.500 0.869 x2
4 Ge 0.500 0.500 0.500 x1
5 Rh 0.000 0.000 0.000 x1
6 Rh 0.000 0.500 0.633 x2
7 Rh 0.500 0.500 0.000 x1

***

The following is a GGA-PBE calculation of a relaxed structure of Ca2ZrTeOs, from the Alexandria database.

**DOS(E_F)**: 5.51 states/eV/cell
**Uncorrected formation energy**: -0.0087 eV/atom
**DFT total energy**: -5.393 eV/atom

Cell lengths 5.550, 5.550, 4.942 Å; angles 90.00, 90.00, 90.00 degrees
Space group P4/mmm (No. 123)
Asymmetric unit:
1 Ca 0.000 0.500 0.000 x2
2 Zr 0.000 0.000 0.500 x1
3 Te 0.500 0.500 0.500 x1
4 Os 0.000 0.000 0.000 x1

***

The following is a GGA-PBE calculation of a relaxed structure of KTiCl5, from the Alexandria database.

**DOS(E_F)**: 0.00 states/eV/cell
**Uncorrected formation energy**: -1.6317 eV/atom
**DFT total energy**: -4.235 eV/atom

Cell lengths 11.670, 8.272, 9.624 Å; angles 90.00, 112.96, 90.00 degrees
Space group C2/c (No. 15)
Asymmetric unit:
1 K 0.000 0.040 0.250 x4
2 Ti 0.000 0.500 0.000 x4
3 Cl 0.000 0.424 0.250 x4
4 Cl 0.080 0.244 0.991 x8
5 Cl 0.198 0.400 0.615 x8

***

The following is a GGA-PBE calculation of a relaxed structure of YHf3Mo, from the Alexandria database.

**DOS(E_F)**: 7.62 states/eV/cell
**Formation enthalpy at 0 K**: 0.523 eV/atom
**DFT total energy**: -8.908 eV/atom

Cell lengths 5.082, 5.082, 5.082 Å; angles 90.00, 90.00, 90.00 degrees
Space group Pm-3m (No. 221)
Asymmetric unit:
1 Y 0.000 0.000 0.000 x1
2 Hf 0.000 0.500 0.500 x3
3 Mo 0.500 0.500 0.500 x1

***

The following is a GGA-PBE calculation of a relaxed structure of MgGa2Cl6, from the Alexandria database.

**DOS(E_F)**: 12.52 states/eV/cell
**Uncorrected formation energy**: -1.1008 eV/atom
**DFT total energy**: -3.182 eV/atom

Cell lengths 12.032, 11.251, 8.561 Å; angles 90.00, 110.70, 90.00 degrees
Space group C2/c (No. 15)
Asymmetric unit:
1 Mg 0.000 0.066 0.250 x4
2 Ga 0.186 0.413 0.243 x8
3 Cl 0.096 0.094 0.639 x8
4 Cl 0.144 0.481 0.959 x8
5 Cl 0.159 0.200 0.261 x8

***

The following is a GGA-PBE calculation of a relaxed structure of Na16Cd12Au, from the Alexandria database.

**DOS(E_F)**: 27.16 states/eV/cell
**Formation enthalpy at 0 K**: -0.105 eV/atom
**DFT total energy**: -1.325 eV/atom

Cell lengths 11.637, 16.102, 10.017 Å; angles 90.00, 123.16, 90.00 degrees
Space group Cm (No. 8)
Asymmetric unit:
1 Na 0.000 0.000 0.000 x2
2 Na 0.008 0.000 0.364 x2
3 Na 0.062 0.352 0.409 x4
4 Na 0.110 0.500 0.679 x2
5 Na 0.154 0.160 0.591 x4
6 Na 0.181 0.180 0.996 x4
7 Na 0.197 0.500 0.297 x2
8 Na 0.300 0.294 0.325 x4
9 Na 0.452 0.114 0.976 x4
10 Na 0.477 0.191 0.694 x4
11 Cd 0.009 0.190 0.182 x4
12 Cd 0.178 0.000 0.808 x2
13 Cd 0.248 0.409 0.030 x4
14 Cd 0.268 0.093 0.365 x4
15 Cd 0.312 0.315 0.822 x4
16 Cd 0.348 0.000 0.166 x2
17 Cd 0.403 0.407 0.645 x4
18 Au 0.323 0.000 0.648 x2

***

The following is a GGA-PBE calculation of a relaxed structure of MgCd5Hg, from the Alexandria database.

**DOS(E_F)**: 6.95 states/eV/cell
**Formation enthalpy at 0 K**: 0.001 eV/atom
**DFT total energy**: -0.923 eV/atom

Cell lengths 13.276, 5.974, 10.376 Å; angles 90.00, 127.04, 90.00 degrees
Space group C2/c (No. 15)
Asymmetric unit:
1 Mg 0.000 0.001 0.250 x4
2 Cd 0.000 0.496 0.250 x4
3 Cd 0.052 0.246 0.042 x8
4 Cd 0.222 0.236 0.623 x8
5 Hg 0.250 0.250 0.000 x4

***

The following is a GGA-PBE calculation of a relaxed structure of BRu2Se, from the Alexandria database.

**DOS(E_F)**: 12.78 states/eV/cell
**Uncorrected formation energy**: 0.2209 eV/atom
**DFT total energy**: -6.958 eV/atom

Cell lengths 5.129, 5.129, 9.876 Å; angles 90.00, 90.00, 90.00 degrees
Space group I-42d (No. 122)
Asymmetric unit:
1 B 0.000 0.000 0.000 x4
2 Ru 0.192 0.250 0.125 x8
3 Se 0.000 0.000 0.500 x4

***

The following is a GGA-PBE calculation of a relaxed structure of Th4TlSb, from the Alexandria database.

**DOS(E_F)**: 10.34 states/eV/cell
**Uncorrected formation energy**: -0.3382 eV/atom
**DFT total energy**: -6.366 eV/atom

Cell lengths 7.635, 7.635, 6.414 Å; angles 90.00, 90.00, 90.00 degrees
Space group P4/mcc (No. 124)
Asymmetric unit:
1 Th 0.153 0.343 0.000 x8
2 Tl 0.500 0.500 0.250 x2
3 Sb 0.000 0.000 0.250 x2